No. 1
Ce3PrSn12: relaxed, GGA-PBE.

formation energy: -533 meV/atom
volume: 26.5 A^3/atom
SG: P4/mmm
crystal system: tetragonal

POSCAR file:
```
Ce3PrSn12
1.0
-1.2978 -1.6053 -4.2789
4.0410 -2.4806 -0.2950
-8.4493 -14.7258 8.0875
Ce Pr Sn
3 1 12
direct
0.0000 0.0000 0.2531
0.0000 0.0000 0.5000
0.0000 0.0000 0.7469
0.0000 0.0000 0.0000
0.5000 0.5000 0.0000
0.5000 0.5000 0.2520
0.5000 0.5000 0.5000
0.5000 0.5000 0.7480
0.5000 0.0000 0.1281
0.5000 0.0000 0.3763
0.5000 0.0000 0.6237
0.5000 0.0000 0.8719
0.0000 0.5000 0.1281
0.0000 0.5000 0.3763
0.0000 0.5000 0.6237
0.0000 0.5000 0.8719
```

---

No. 2
DyFe2H7: relaxed, GGA-PBE.

volume: 7.1 A^3/atom
SG: Cmmm
crystal system: orthorhombic
electronic total energy: -4.659 eV/atom

POSCAR file:
```
DyFe2H7
1.0
3.4537 0.0000 0.0000
0.0000 4.4684 -2.4384
0.0000 -0.3021 4.7597
Dy Fe H
1 2 7
direct
0.0000 0.0000 0.0000
0.5000 0.3006 0.6012
0.5000 0.6994 0.3988
0.0000 0.3010 0.6020
0.0000 0.6990 0.3980
0.5000 0.3287 0.2752
0.5000 0.6713 0.7248
0.5000 0.0535 0.7248
0.5000 0.9465 0.2752
0.5000 0.5000 0.0000
```

---

No. 3
MnMo2P: relaxed, GGA-PBE.

formation energy: -49 meV/atom
volume: 13.4 A^3/atom
SG: Immm
crystal system: orthorhombic

POSCAR file:
```
MnMo2P
1.0
-3.2693 3.6130 -0.1622
-4.6674 -1.3949 -0.1944
4.0479 -0.4214 2.6842
Mn Mo P
1 2 1
direct
0.2500 0.7500 0.5000
0.9932 0.9932 0.0000
0.5068 0.5068 0.0000
0.7500 0.2500 0.5000
```

---

No. 4
CaTlIr2: relaxed, GGA-PBE.

formation energy: 116 meV/atom
volume: 18.5 A^3/atom
SG: P4/mmm
crystal system: tetragonal

POSCAR file:
```
CaTlIr2
1.0
4.2911 0.4663 0.0000
-0.4669 4.2911 0.0000
0.0000 0.0000 3.9823
Tl Ir Ca
1 2 1
direct
0.5000 0.0000 0.5000
0.0000 0.0000 0.0000
0.5000 0.5000 0.0000
0.0000 0.5000 0.5000
```

---

No. 5
TiP2O2: relaxed, GGA-PBE.

ΔE to the lowest computed polymorph: 1072 meV/atom
ΔE_f (raw): 0.072 eV per atom
volume: 16.8 A^3/atom
SG: P4/mmm
crystal system: tetragonal

POSCAR file:
```
TiP2O2
1.0
4.7824 0.0000 0.0000
0.0000 4.7824 0.0000
0.0000 0.0000 3.6656
P O Ti
2 2 1
direct
0.0000 0.5000 0.0000
0.5000 0.0000 0.0000
0.5000 0.5000 0.5000
0.0000 0.0000 0.5000
0.0000 0.0000 0.0000
```

---

No. 6
PrDyZnCo: relaxed, GGA-PBE.

formation energy: -143 meV/atom
volume: 21.9 A^3/atom
SG: F-43m
crystal system: cubic

POSCAR file:
```
PrDyZnCo
1.0
-3.2260 -1.6220 3.4337
0.4618 -4.5912 1.8804
1.4844 -0.6232 4.7155
Pr Zn Co Dy
1 1 1 1
direct
0.7500 0.7500 0.7500
0.0000 0.0000 0.0000
0.5000 0.5000 0.5000
0.2500 0.2500 0.2500
```